# V6O7F5

An optimized crystal structure of V6O7F5 (GGA+U, Alexandria via LeMat-Bulk).

a = 5.606 Å, b = 5.635 Å, c = 7.395 Å
α = 71.72°, β = 72.64°, γ = 71.72°
Space group P1 (No. 1)
Unique sites:
1 V 0.000 0.000 0.000 x1
2 V 0.000 0.062 0.523 x1
3 V 0.291 0.414 0.688 x1
4 V 0.295 0.373 0.197 x1
5 V 0.648 0.720 0.356 x1
6 V 0.650 0.712 0.843 x1
7 O 0.077 0.152 0.732 x1
8 O 0.284 0.738 0.021 x1
9 O 0.361 0.027 0.353 x1
10 O 0.540 0.610 0.653 x1
11 O 0.753 0.821 0.049 x1
12 O 0.943 0.411 0.352 x1
13 O 0.996 0.702 0.681 x1
14 F 0.202 0.275 0.989 x1
15 F 0.401 0.496 0.387 x1
16 F 0.603 0.092 0.679 x1
17 F 0.687 0.335 0.026 x1
18 F 0.898 0.949 0.308 x1

Summary:
Spin magnetization = 11.0 μB per formula unit
Energy = -130.84 eV per formula unit
E above lowest polymorph = 6 meV per atom
Crystal system = triclinic